[1]
ZnOs2Pb | GGA-PBEsol | relaxed

a b c (Å): 2.896 2.896 8.485
angles (deg): 90.00 90.00 90.00
Element x y z (fractional)
Zn 0.000 0.000 0.000
Os 0.000 0.000 0.388
Os 0.500 0.500 0.198
Pb 0.500 0.500 0.651

- magnetization (μB/f.u.) = 0.000
- energy (eV per formula unit) = -28.426
- DOS(E_F) (states/eV per cell) = 1.66
- formation energy (meV/atom) = 397

***

[2]
ZrOsPb2 | GGA-PBEsol | relaxed

a b c (Å): 5.852 5.852 5.852
angles (deg): 147.32 127.74 63.01
Element x y z (fractional)
Zr 0.000 0.000 0.000
Os 0.500 0.500 0.000
Pb 0.276 0.776 0.500
Pb 0.724 0.224 0.500

- magnetization (μB/f.u.) = 0.000
- energy (eV per formula unit) = -27.781
- DOS(E_F) (states/eV per cell) = 2.80
- formation energy (meV/atom) = 381

***

[3]
ZrOsPb2 | GGA-PBEsol | relaxed

a b c (Å): 3.214 3.214 9.367
angles (deg): 90.00 90.00 118.42
Element x y z (fractional)
Zr 0.000 0.000 0.000
Os 0.000 0.000 0.500
Pb 0.500 0.500 0.268
Pb 0.500 0.500 0.732

- magnetization (μB/f.u.) = 0.000
- energy (eV per formula unit) = -26.904
- DOS(E_F) (states/eV per cell) = 3.40
- formation energy (meV/atom) = 600

***

[4]
ZrOsPb2 | GGA-PBEsol | relaxed

a b c (Å): 4.909 4.909 4.909
angles (deg): 60.00 60.00 60.00
Element x y z (fractional)
Zr 0.000 0.000 0.000
Os 0.250 0.250 0.250
Pb 0.500 0.500 0.500
Pb 0.750 0.750 0.750

- magnetization (μB/f.u.) = 0.000
- energy (eV per formula unit) = -27.883
- formation energy (meV/atom) = 355

***

[5]
Sc2OsPdRh | GGA-PBEsol | relaxed

a b c (Å): 4.704 4.704 4.632
angles (deg): 90.00 90.00 90.00
Element x y z (fractional)
Sc 0.000 0.500 0.000
Sc 0.500 0.000 0.000
Os 0.000 0.000 0.500
Pd 0.500 0.500 0.000
Rh 0.500 0.500 0.500

- magnetization (μB/f.u.) = 1.084
- energy (eV per formula unit) = -34.587
- DOS(E_F) (states/eV per cell) = 7.34
- formation energy (meV/atom) = 987

***

[6]
SiTe2OsPd | GGA-PBEsol | relaxed

a b c (Å): 5.137 5.137 4.347
angles (deg): 90.00 90.00 90.00
Element x y z (fractional)
Si 0.000 0.000 0.000
Te 0.000 0.500 0.500
Te 0.500 0.000 0.500
Os 0.500 0.500 0.000
Pd 0.000 0.000 0.500

- magnetization (μB/f.u.) = 0.638
- energy (eV per formula unit) = -24.478
- uncorrected formation energy (meV per atom) = 1299
- DOS(E_F) (states/eV per cell) = 5.40

***

[7]
TaOs3Pd | GGA-PBEsol | relaxed

a b c (Å): 4.658 4.658 4.658
angles (deg): 90.00 90.00 90.00
Element x y z (fractional)
Ta 0.000 0.000 0.000
Os 0.000 0.000 0.500
Os 0.000 0.500 0.000
Os 0.500 0.000 0.000
Pd 0.500 0.500 0.500

- magnetization (μB/f.u.) = 2.070
- energy (eV per formula unit) = -42.811
- DOS(E_F) (states/eV per cell) = 7.93
- formation energy (meV/atom) = 2469

***

[8]
Ta2OsPd2 | GGA-PBEsol | relaxed

a b c (Å): 6.440 6.440 6.440
angles (deg): 145.47 145.47 49.63
Element x y z (fractional)
Ta 0.250 0.750 0.500
Ta 0.750 0.250 0.500
Os 0.000 0.000 0.000
Pd 0.400 0.400 0.000
Pd 0.600 0.600 0.000

- magnetization (μB/f.u.) = 0.035
- energy (eV per formula unit) = -45.264
- DOS(E_F) (states/eV per cell) = 5.44
- formation energy (meV/atom) = 794

***

[9]
Te2OsPd2 | GGA-PBEsol | relaxed

a b c (Å): 7.913 7.913 7.913
angles (deg): 154.10 154.10 36.96
Element x y z (fractional)
Te 0.105 0.105 0.000
Te 0.895 0.895 0.000
Os 0.500 0.500 0.000
Pd 0.250 0.750 0.500
Pd 0.750 0.250 0.500

- magnetization (μB/f.u.) = 0.793
- energy (eV per formula unit) = -28.637
- uncorrected formation energy (meV per atom) = 510
- DOS(E_F) (states/eV per cell) = 3.45

***

[10]
Te2OsPd | GGA-PBEsol | relaxed

a b c (Å): 9.642 9.642 9.642
angles (deg): 18.53 18.53 18.53
Element x y z (fractional)
Te 0.089 0.089 0.089
Te 0.911 0.911 0.911
Os 0.000 0.000 0.000
Pd 0.500 0.500 0.500

- magnetization (μB/f.u.) = 0.000
- energy (eV per formula unit) = -22.436
- uncorrected formation energy (meV per atom) = 698
- DOS(E_F) (states/eV per cell) = 3.06

***

[11]
Pr3Os | GGA-PBEsol | relaxed

a b c (Å): 7.428 9.598 6.436
angles (deg): 90.00 90.00 90.00
Element x y z (fractional)
Pr 0.040 0.250 0.140
Pr 0.176 0.065 0.668
Pr 0.176 0.435 0.668
Pr 0.324 0.565 0.168
Pr 0.324 0.935 0.168
Pr 0.460 0.750 0.640
Pr 0.540 0.250 0.360
Pr 0.676 0.065 0.832
Pr 0.676 0.435 0.832
Pr 0.824 0.565 0.332
Pr 0.824 0.935 0.332
Pr 0.960 0.750 0.860
Os 0.114 0.750 0.444
Os 0.386 0.250 0.944
Os 0.614 0.750 0.056
Os 0.886 0.250 0.556

- magnetization (μB/f.u.) = 0.000
- energy (eV per formula unit) = -27.943
- DOS(E_F) (states/eV per cell) = 15.13
- formation energy (meV/atom) = -43

***

[12]
PrSb12Os4 | GGA-PBEsol | relaxed

a b c (Å): 8.057 8.057 8.057
angles (deg): 109.47 109.47 109.47
Element x y z (fractional)
Pr 0.000 0.000 0.000
Sb 0.157 0.340 0.497
Sb 0.157 0.660 0.817
Sb 0.183 0.843 0.340
Sb 0.340 0.183 0.843
Sb 0.340 0.497 0.157
Sb 0.497 0.157 0.340
Sb 0.503 0.843 0.660
Sb 0.660 0.503 0.843
Sb 0.660 0.817 0.157
Sb 0.817 0.157 0.660
Sb 0.843 0.340 0.183
Sb 0.843 0.660 0.503
Os 0.000 0.000 0.500
Os 0.000 0.500 0.000
Os 0.500 0.000 0.000
Os 0.500 0.500 0.500

- magnetization (μB/f.u.) = 0.001
- energy (eV per formula unit) = -111.998
- uncorrected formation energy (meV per atom) = -192
- DOS(E_F) (states/eV per cell) = 12.88

***

[13]
PrSi2Os2 | GGA-PBEsol | relaxed

a b c (Å): 5.751 5.751 5.751
angles (deg): 137.51 137.51 61.65
Element x y z (fractional)
Pr 0.000 0.000 0.000
Si 0.369 0.369 0.000
Si 0.631 0.631 0.000
Os 0.250 0.750 0.500
Os 0.750 0.250 0.500

- magnetization (μB/f.u.) = 0.000
- energy (eV per formula unit) = -44.660
- uncorrected formation energy (meV per atom) = -710
- DOS(E_F) (states/eV per cell) = 2.68

***

[14]
OsPt2 | GGA-PBEsol | relaxed

a b c (Å): 4.397 4.397 5.373
angles (deg): 90.00 90.00 120.00
Element x y z (fractional)
Os 0.333 0.667 0.250
Os 0.667 0.333 0.750
Pt 0.000 0.000 0.000
Pt 0.000 0.000 0.500
Pt 0.333 0.667 0.750
Pt 0.667 0.333 0.250

- magnetization (μB/f.u.) = 0.001
- energy (eV per formula unit) = -24.816
- DOS(E_F) (states/eV per cell) = 8.31
- formation energy (meV/atom) = 442